Computed, not measured: a relaxed structure of InGa2Au2 at the PBE level of DFT.

abc: 8.3448 8.3448 2.8837
angles: 90.00 90.00 90.00
Last column: nearest neighbours and their distance in Å.
Space group P4/mbm (No. 127)
One atom of each set of equivalent atoms:
In (0.0000, 0.0000, 0.0000) x2  2 In 2.88
Ga (0.1296, 0.3704, 0.0000) x4  6 Au 2.81-2.87, 3 Ga 2.88-3.06
Au (0.1658, 0.6658, 0.5000) x4  6 Ga 2.81-2.87, 2 Au 2.88

excess energy over the best structure of this formula in the dataset = 0.87 eV/f.u.
spin magnetization = 0.00 Bohr magnetons per cell
calculated formation energy = -0.4 eV/f.u.